{"formula": "BaCuBi2", "functional": "GGA-PBE", "state": "optimized geometry", "lattice": [[7.933, 0.000, 0.000], [0.000, 7.933, 0.000], [0.000, 0.000, 7.933]], "species": ["Ba", "Ba", "Ba", "Ba", "Cu", "Cu", "Cu", "Cu", "Bi", "Bi", "Bi", "Bi", "Bi", "Bi", "Bi", "Bi"], "fractional_positions": [[0.000, 0.000, 0.000], [0.000, 0.500, 0.500], [0.500, 0.000, 0.500], [0.500, 0.500, 0.000], [0.250, 0.250, 0.750], [0.250, 0.750, 0.250], [0.750, 0.250, 0.250], [0.750, 0.750, 0.750], [0.000, 0.000, 0.500], [0.000, 0.500, 0.000], [0.250, 0.250, 0.250], [0.250, 0.750, 0.750], [0.500, 0.000, 0.000], [0.500, 0.500, 0.500], [0.750, 0.250, 0.750], [0.750, 0.750, 0.250]], "energy_ev_per_atom": -3.50, "vol_a3_per_atom": 31.2, "space_group": "F-43m"}

{"formula": "BaCuBiPd", "functional": "GGA-PBE", "state": "optimized geometry", "lattice": [[7.398, 0.000, 0.000], [0.000, 7.398, 0.000], [0.000, 0.000, 7.398]], "species": ["Ba", "Ba", "Ba", "Ba", "Cu", "Cu", "Cu", "Cu", "Bi", "Bi", "Bi", "Bi", "Pd", "Pd", "Pd", "Pd"], "fractional_positions": [[0.000, 0.000, 0.000], [0.000, 0.500, 0.500], [0.500, 0.000, 0.500], [0.500, 0.500, 0.000], [0.250, 0.250, 0.250], [0.250, 0.750, 0.750], [0.750, 0.250, 0.750], [0.750, 0.750, 0.250], [0.250, 0.250, 0.750], [0.250, 0.750, 0.250], [0.750, 0.250, 0.250], [0.750, 0.750, 0.750], [0.000, 0.000, 0.500], [0.000, 0.500, 0.000], [0.500, 0.000, 0.000], [0.500, 0.500, 0.500]], "energy_ev_per_atom": -3.74, "vol_a3_per_atom": 25.3, "space_group": "F-43m"}

{"formula": "BaCuBiPd", "functional": "GGA-PBE", "state": "optimized geometry", "lattice": [[7.341, 0.000, 0.000], [0.000, 7.341, 0.000], [0.000, 0.000, 7.341]], "species": ["Ba", "Ba", "Ba", "Ba", "Cu", "Cu", "Cu", "Cu", "Bi", "Bi", "Bi", "Bi", "Pd", "Pd", "Pd", "Pd"], "fractional_positions": [[0.000, 0.000, 0.000], [0.000, 0.500, 0.500], [0.500, 0.000, 0.500], [0.500, 0.500, 0.000], [0.250, 0.250, 0.750], [0.250, 0.750, 0.250], [0.750, 0.250, 0.250], [0.750, 0.750, 0.750], [0.000, 0.000, 0.500], [0.000, 0.500, 0.000], [0.500, 0.000, 0.000], [0.500, 0.500, 0.500], [0.250, 0.250, 0.250], [0.250, 0.750, 0.750], [0.750, 0.250, 0.750], [0.750, 0.750, 0.250]], "energy_ev_per_atom": -3.92, "vol_a3_per_atom": 24.7, "space_group": "F-43m"}

{"formula": "BaCuBiPd", "functional": "GGA-PBE", "state": "optimized geometry", "lattice": [[7.444, 0.000, 0.000], [0.000, 7.444, 0.000], [0.000, 0.000, 7.444]], "species": ["Ba", "Ba", "Ba", "Ba", "Cu", "Cu", "Cu", "Cu", "Bi", "Bi", "Bi", "Bi", "Pd", "Pd", "Pd", "Pd"], "fractional_positions": [[0.000, 0.000, 0.000], [0.000, 0.500, 0.500], [0.500, 0.000, 0.500], [0.500, 0.500, 0.000], [0.000, 0.000, 0.500], [0.000, 0.500, 0.000], [0.500, 0.000, 0.000], [0.500, 0.500, 0.500], [0.250, 0.250, 0.250], [0.250, 0.750, 0.750], [0.750, 0.250, 0.750], [0.750, 0.750, 0.250], [0.250, 0.250, 0.750], [0.250, 0.750, 0.250], [0.750, 0.250, 0.250], [0.750, 0.750, 0.750]], "energy_ev_per_atom": -3.67, "vol_a3_per_atom": 25.8, "space_group": "F-43m"}

{"formula": "Ba2CuBi2Pd", "functional": "GGA-PBE", "state": "optimized geometry", "lattice": [[4.750, 0.000, 0.000], [-2.375, 4.114, 0.000], [0.000, 0.000, 9.863]], "species": ["Ba", "Ba", "Cu", "Bi", "Bi", "Pd"], "fractional_positions": [[0.000, 0.000, 0.248], [0.000, 0.000, 0.752], [0.667, 0.333, 0.500], [0.333, 0.667, 0.500], [0.667, 0.333, 0.000], [0.333, 0.667, 0.000]], "energy_ev_per_atom": -4.13, "vol_a3_per_atom": 32.1, "space_group": "P-6m2"}

{"formula": "BaCuBi2Pt", "functional": "GGA-PBE", "state": "optimized geometry", "lattice": [[4.928, 0.000, 0.000], [0.000, 4.848, 0.000], [-0.262, 0.000, 11.176]], "species": ["Ba", "Ba", "Cu", "Cu", "Bi", "Bi", "Bi", "Bi", "Pt", "Pt"], "fractional_positions": [[0.233, 0.250, 0.243], [0.767, 0.750, 0.757], [0.189, 0.750, 0.001], [0.811, 0.250, 0.999], [0.252, 0.750, 0.499], [0.293, 0.250, 0.879], [0.707, 0.750, 0.121], [0.748, 0.250, 0.501], [0.253, 0.250, 0.629], [0.747, 0.750, 0.371]], "energy_ev_per_atom": -4.45, "vol_a3_per_atom": 26.7, "space_group": "P2_1/m"}

{"formula": "BaCu2BiSb", "functional": "GGA-PBE", "state": "optimized geometry", "lattice": [[4.763, 0.000, 0.000], [0.000, 4.763, 0.000], [0.000, 0.000, 11.037]], "species": ["Ba", "Ba", "Cu", "Cu", "Cu", "Cu", "Bi", "Bi", "Sb", "Sb"], "fractional_positions": [[0.250, 0.250, 0.231], [0.750, 0.750, 0.769], [0.250, 0.250, 0.643], [0.250, 0.750, 0.000], [0.750, 0.250, 0.000], [0.750, 0.750, 0.357], [0.250, 0.750, 0.500], [0.750, 0.250, 0.500], [0.250, 0.250, 0.879], [0.750, 0.750, 0.121]], "energy_ev_per_atom": -3.93, "vol_a3_per_atom": 25.0, "space_group": "P4/nmm"}

{"formula": "BaCu2BiSb", "functional": "GGA-PBE", "state": "optimized geometry", "lattice": [[4.782, 0.000, 0.000], [0.000, 4.745, 0.000], [-0.075, 0.000, 11.029]], "species": ["Ba", "Ba", "Cu", "Cu", "Cu", "Cu", "Bi", "Bi", "Sb", "Sb"], "fractional_positions": [[0.245, 0.250, 0.231], [0.755, 0.750, 0.769], [0.214, 0.750, 0.000], [0.253, 0.250, 0.642], [0.747, 0.750, 0.358], [0.786, 0.250, 0.000], [0.250, 0.750, 0.500], [0.750, 0.250, 0.500], [0.275, 0.250, 0.880], [0.725, 0.750, 0.120]], "energy_ev_per_atom": -3.93, "vol_a3_per_atom": 25.0, "space_group": "P2_1/m"}

{"formula": "Ba2FeBi", "functional": "GGA-PBE", "state": "optimized geometry", "lattice": [[8.121, 0.000, 0.000], [0.000, 8.121, 0.000], [0.000, 0.000, 8.121]], "species": ["Ba", "Ba", "Ba", "Ba", "Ba", "Ba", "Ba", "Ba", "Fe", "Fe", "Fe", "Fe", "Bi", "Bi", "Bi", "Bi"], "fractional_positions": [[0.000, 0.000, 0.000], [0.000, 0.500, 0.500], [0.250, 0.250, 0.250], [0.250, 0.750, 0.750], [0.500, 0.000, 0.500], [0.500, 0.500, 0.000], [0.750, 0.250, 0.750], [0.750, 0.750, 0.250], [0.250, 0.250, 0.750], [0.250, 0.750, 0.250], [0.750, 0.250, 0.250], [0.750, 0.750, 0.750], [0.000, 0.000, 0.500], [0.000, 0.500, 0.000], [0.500, 0.000, 0.000], [0.500, 0.500, 0.500]], "energy_ev_per_atom": -3.78, "vol_a3_per_atom": 33.5, "space_group": "F-43m"}

{"formula": "BaFeBi2", "functional": "GGA-PBE", "state": "optimized geometry", "lattice": [[7.954, 0.000, 0.000], [0.000, 7.954, 0.000], [0.000, 0.000, 7.954]], "species": ["Ba", "Ba", "Ba", "Ba", "Fe", "Fe", "Fe", "Fe", "Bi", "Bi", "Bi", "Bi", "Bi", "Bi", "Bi", "Bi"], "fractional_positions": [[0.000, 0.000, 0.000], [0.000, 0.500, 0.500], [0.500, 0.000, 0.500], [0.500, 0.500, 0.000], [0.250, 0.250, 0.250], [0.250, 0.750, 0.750], [0.750, 0.250, 0.750], [0.750, 0.750, 0.250], [0.000, 0.000, 0.500], [0.000, 0.500, 0.000], [0.250, 0.250, 0.750], [0.250, 0.750, 0.250], [0.500, 0.000, 0.000], [0.500, 0.500, 0.500], [0.750, 0.250, 0.250], [0.750, 0.750, 0.750]], "energy_ev_per_atom": -4.29, "vol_a3_per_atom": 31.4, "space_group": "F-43m"}

{"formula": "Ba2FeBiSe5", "functional": "GGA-PBE", "state": "optimized geometry", "lattice": [[12.757, 0.000, 0.000], [0.000, 9.240, 0.000], [0.000, 0.000, 9.309]], "species": ["Ba", "Ba", "Ba", "Ba", "Ba", "Ba", "Ba", "Ba", "Fe", "Fe", "Fe", "Fe", "Bi", "Bi", "Bi", "Bi", "Se", "Se", "Se", "Se", "Se", "Se", "Se", "Se", "Se", "Se", "Se", "Se", "Se", "Se", "Se", "Se", "Se", "Se", "Se", "Se"], "fractional_positions": [[0.176, 0.008, 0.118], [0.176, 0.492, 0.118], [0.324, 0.508, 0.618], [0.324, 0.992, 0.618], [0.676, 0.008, 0.382], [0.676, 0.492, 0.382], [0.824, 0.508, 0.882], [0.824, 0.992, 0.882], [0.097, 0.750, 0.830], [0.403, 0.250, 0.330], [0.597, 0.750, 0.670], [0.903, 0.250, 0.170], [0.021, 0.750, 0.476], [0.479, 0.250, 0.976], [0.521, 0.750, 0.024], [0.979, 0.250, 0.524], [0.005, 0.250, 0.962], [0.058, 0.538, 0.687], [0.058, 0.962, 0.687], [0.220, 0.750, 0.374], [0.221, 0.250, 0.388], [0.279, 0.750, 0.888], [0.280, 0.250, 0.874], [0.442, 0.038, 0.187], [0.442, 0.462, 0.187], [0.495, 0.750, 0.462], [0.505, 0.250, 0.538], [0.558, 0.538, 0.813], [0.558, 0.962, 0.813], [0.720, 0.750, 0.126], [0.721, 0.250, 0.112], [0.779, 0.750, 0.612], [0.780, 0.250, 0.626], [0.942, 0.038, 0.313], [0.942, 0.462, 0.313], [0.995, 0.750, 0.038]], "energy_ev_per_atom": -4.84, "vol_a3_per_atom": 30.5, "space_group": "Pnma"}

{"formula": "Ba2GdBi", "functional": "GGA-PBE", "state": "optimized geometry", "lattice": [[3.840, 0.000, 0.000], [-1.920, 3.326, 0.000], [0.000, 0.000, 12.896]], "species": ["Ba", "Ba", "Gd", "Bi"], "fractional_positions": [[0.000, 0.000, 0.223], [0.000, 0.000, 0.777], [0.000, 0.000, 0.500], [0.667, 0.333, 0.000]], "energy_ev_per_atom": -3.04, "vol_a3_per_atom": 41.2, "space_group": "P-6m2"}

> Number 5 is which compound?

Ba2CuBi2Pd